Compound: LaPr2F8
Source: Alexandria via LeMat-Bulk
Functional: PBE
Structure: optimized geometry

The structure in POSCAR format:
```
LaPr2F8
1.0
7.859 -1.903 0.000
7.859 1.903 0.000
-2.117 0.000 5.524
La Pr F
1 2 8
direct
0.000 0.000 0.000
0.321 0.321 0.319
0.679 0.679 0.681
0.100 0.100 0.442
0.179 0.179 0.959
0.279 0.279 0.673
0.454 0.454 0.226
0.546 0.546 0.774
0.721 0.721 0.327
0.821 0.821 0.041
0.900 0.900 0.558
```

## Properties
uncorrected formation energy = -3.89 eV per atom